Computed, not measured: a relaxed structure of ReNiO2 at the PBE+U level of DFT.

Properties
DOS(E_F): 1.006 states/eV/f.u.
E_tot: -82.5 eV per cell

CIF file:
```
data_ReNiO2
_chemical_formula_sum 'Re3 Ni3 O6'
_space_group_name_H-M_alt 'R -3 m'
_space_group_IT_number 166
_space_group_name_Hall '-R 3 2"'
_cell_length_a 2.7326
_cell_length_b 2.7326
_cell_length_c 19.8698
_cell_angle_alpha 90.00
_cell_angle_beta 90.00
_cell_angle_gamma 120.00
loop_
_atom_site_label
_atom_site_type_symbol
_atom_site_fract_x
_atom_site_fract_y
_atom_site_fract_z
Re1 Re 0.0000 0.0000 0.0000
Ni1 Ni 0.0000 0.0000 0.5000
O1 O 0.0000 0.0000 0.4027
```